VASP calculation (GGA-PBE) on SrPrAgTe3 after structural relaxation.

Output
crystal system = monoclinic
volume = 203.7 Å³/f.u.
electronic total energy = -0.320 Ry per atom

abc: 9.2221 4.5014 10.0847
angles: 90.00 103.26 90.00
Last column: nearest neighbours and their distance in Å.
Space group P2_1/m (No. 11)
Symmetry-distinct sites (fractional):
Sr 0.1890 0.2500 0.2444 [2 per cell]  7 Te 3.39-3.69, 1 Ag 3.76
Pr 0.3231 0.7500 0.8304 [2 per cell]  6 Te 3.16-3.26
Ag 0.0835 0.2500 0.5831 [2 per cell]  4 Te 2.87-2.97, 2 Ag 3.01
Te 0.0896 0.2500 0.8688 [2 per cell]  1 Ag 2.87, 2 Pr 3.20
Te 0.2461 0.7500 0.5081 [2 per cell]  3 Ag 2.90-2.97, 1 Pr 3.16
Te 0.4287 0.7500 0.1621 [2 per cell]  3 Pr 3.20-3.26, 2 Sr 3.39

=====

VASP calculation (GGA-PBE) on MgIr2Au after structural relaxation.

Output
crystal system = tetragonal
ΔH_f (0 K) = -0.030 eV/atom
volume = 62.5 Å³/f.u.
electronic total energy = -0.417 Ry per atom
Fermi-level density of states = 1.137 states/eV per atom

abc: 3.9447 3.9447 4.0147
angles: 90.00 90.00 90.00
Last column: nearest neighbours and their distance in Å.
Space group P4/mmm (No. 123)
Symmetry-distinct sites (fractional):
Mg 0.0000 0.0000 0.0000 [1 per cell]  4 Au 2.79, 8 Ir 2.81
Ir 0.0000 0.5000 0.5000 [2 per cell]  4 Ir 2.79, 4 Mg 2.81, 4 Au 2.81
Au 0.5000 0.5000 0.0000 [1 per cell]  4 Mg 2.79, 8 Ir 2.81